DFT (GGA-PBE) results for a relaxed structure of CaCuMo2.

Cell: 6.454 6.454 6.454 Å, 90.00 90.00 90.00°
Space group Fm-3m (No. 225)
Asymmetric unit:
1 Ca 0.000 0.000 0.000 x4
2 Cu 0.000 0.000 0.500 x4
3 Mo 0.250 0.250 0.250 x8

Results
energy relative to the elements	1.141	eV/atom
distance to the lowest polymorph of the same formula	801	meV/atom

DFT (GGA-PBE) results for a relaxed structure of Ca2SbPt3.

Cell: 5.6841 5.6841 13.0819 Å, 90.00 90.00 120.00°
Space group R-3m (No. 166, hexagonal axes)
Asymmetric unit:
1 Ca 0.0000 0.0000 0.1230 x6
2 Sb 0.0000 0.0000 0.5000 x3
3 Pt 0.0000 0.5000 0.0000 x9

Results
formation energy (no corrections)	-900	meV/atom

DFT (GGA-PBE) results for a relaxed structure of Ag2SI.

Cell: 6.151 6.151 12.196 Å, 90.00 90.00 90.00°
Space group I-42d (No. 122)
Asymmetric unit:
1 Ag 0.185 0.250 0.125 x8
2 S 0.000 0.000 0.000 x4
3 I 0.000 0.000 0.500 x4

Results
distance to the lowest polymorph of the same formula	0	meV/atom
formation energy (no corrections)	-28	meV/atom

DFT (GGA-PBE) results for a relaxed structure of Sr2LiZn6.

Cell: 6.0794 6.0794 6.1579 Å, 90.00 90.00 120.00°
Space group P-3m1 (No. 164)
Asymmetric unit:
1 Sr 0.3333 0.6667 0.3553 x2
2 Li 0.0000 0.0000 0.5000 x1
3 Zn 0.1786 0.3573 0.8493 x6

Results
energy relative to the elements	-0.154	eV/atom

DFT (GGA-PBE) results for a relaxed structure of LiPa2Ni9.

Cell: 3.838 3.838 10.806 Å, 90.00 90.00 90.00°
Space group P4/mmm (No. 123)
Asymmetric unit:
1 Li 0.000 0.000 0.000 x1
2 Pa 0.000 0.000 0.313 x2
3 Ni 0.000 0.500 0.149 x4
4 Ni 0.000 0.500 0.500 x2
5 Ni 0.500 0.500 0.000 x1
6 Ni 0.500 0.500 0.328 x2

Results
energy relative to the elements	-0.301	eV/atom
distance to the lowest polymorph of the same formula	0	meV/atom

DFT (GGA-PBE) results for a relaxed structure of MgCo2Tc.

Cell: 2.7010 2.7010 25.4725 Å, 90.00 90.00 120.00°
Space group R-3m (No. 166, hexagonal axes)
Asymmetric unit:
1 Mg 0.0000 0.0000 0.0000 x3
2 Co 0.0000 0.0000 0.2464 x6
3 Tc 0.0000 0.0000 0.5000 x3

Results
energy relative to the elements	0.238	eV/atom

DFT (GGA-PBE) results for a relaxed structure of Pm6MgPb.

Cell: 5.004 5.004 9.943 Å, 90.00 90.00 90.00°
Space group P4/mmm (No. 123)
Asymmetric unit:
1 Pm 0.000 0.000 0.000 x1
2 Pm 0.000 0.000 0.500 x1
3 Pm 0.000 0.500 0.249 x4
4 Mg 0.500 0.500 0.500 x1
5 Pb 0.500 0.500 0.000 x1

Results
energy relative to the elements	-0.161	eV/atom

DFT (GGA-PBE) results for a relaxed structure of AcCeOsI.

Cell: 4.2099 4.2099 25.1588 Å, 90.00 90.00 120.00°
Space group R3m (No. 160, hexagonal axes)
Asymmetric unit:
1 Ac 0.0000 0.0000 0.0000 x3
2 Ce 0.0000 0.0000 0.2108 x3
3 Os 0.0000 0.0000 0.5938 x3
4 I 0.0000 0.0000 0.7773 x3

Results
formation energy (no corrections)	-612	meV/atom